Record 1
CeMg2Cu9 | PBE | optimized geometry

```
data_CeMg2Cu9
_chemical_formula_sum 'Ce2 Mg4 Cu18'
_symmetry_space_group_name_H-M 'P 63/m m c'
_symmetry_Int_Tables_number 194
_symmetry_space_group_name_Hall '-P 6c 2c'
_cell_length_a 5.0665
_cell_length_b 5.0665
_cell_length_c 16.0707
_cell_angle_alpha 90.00
_cell_angle_beta 90.00
_cell_angle_gamma 120.00
loop_
_atom_site_label
_atom_site_fract_x
_atom_site_fract_y
_atom_site_fract_z
Ce1 0.3333 0.6667 0.2500
Mg1 0.3333 0.6667 0.0313
Cu1 0.0000 0.0000 0.0000
Cu2 0.0000 0.0000 0.2500
Cu3 0.1680 0.3360 0.6225
Cu4 0.3333 0.6667 0.7500
```

Summary:
* D(E_F): 9.53 states/eV/f.u.
* energy relative to the elements: -1.84 eV/f.u.



Record 2
KMn2CrBr8 | PBE | optimized geometry

```
data_KMn2CrBr8
_chemical_formula_sum 'K1 Mn2 Cr1 Br8'
_symmetry_space_group_name_H-M 'P -1'
_symmetry_Int_Tables_number 2
_cell_length_a 6.6476
_cell_length_b 6.6485
_cell_length_c 9.0997
_cell_angle_alpha 77.60
_cell_angle_beta 77.67
_cell_angle_gamma 74.84
loop_
_symmetry_equiv_pos_as_xyz
'x,y,z'
'-x,-y,-z'
loop_
_atom_site_label
_atom_site_fract_x
_atom_site_fract_y
_atom_site_fract_z
K1 0.0000 0.0000 0.0000
Mn1 0.4369 0.4366 0.2311
Cr1 0.0000 0.0000 0.5000
Br1 0.1856 0.7397 0.7085
Br2 0.2456 0.2442 0.4769
Br3 0.2592 0.8135 0.2920
Br4 0.3333 0.3308 0.0122
```

Summary:
* ΔE_f (raw): -0.8660 eV per atom



Record 3
Tl2InSn6 | PBE | optimized geometry

```
data_Tl2InSn6
_chemical_formula_sum 'Tl2 In1 Sn6'
_symmetry_space_group_name_H-M 'P -3 1 m'
_symmetry_Int_Tables_number 162
_symmetry_space_group_name_Hall '-P 3 2'
_cell_length_a 8.0647
_cell_length_b 8.0647
_cell_length_c 6.5657
_cell_angle_alpha 90.00
_cell_angle_beta 90.00
_cell_angle_gamma 120.00
loop_
_atom_site_label
_atom_site_fract_x
_atom_site_fract_y
_atom_site_fract_z
Tl1 0.3333 0.6667 0.0000
In1 0.0000 0.0000 0.5000
Sn1 0.0000 0.2541 0.8313
```

Summary:
* D(E_F): 3.70 states/eV/f.u.
* energy relative to the elements: 1.95 eV/f.u.



Record 4
NdGa12Rh4 | PBE | optimized geometry

```
data_NdGa12Rh4
_chemical_formula_sum 'Nd2 Ga24 Rh8'
_symmetry_space_group_name_H-M 'I m -3'
_symmetry_Int_Tables_number 204
_symmetry_space_group_name_Hall '-I 2 2 3'
_cell_length_a 8.7783
_cell_length_b 8.7783
_cell_length_c 8.7783
_cell_angle_alpha 90.00
_cell_angle_beta 90.00
_cell_angle_gamma 90.00
loop_
_atom_site_label
_atom_site_fract_x
_atom_site_fract_y
_atom_site_fract_z
Nd1 0.0000 0.0000 0.0000
Ga1 0.0000 0.1593 0.3411
Rh1 0.2500 0.2500 0.2500
```

Summary:
* D(E_F): 6.84 states/eV/f.u.
* energy relative to the elements: -4.26 eV/f.u.



Quick rundown of V, same order as above: 14.89 31.15 41.09 19.90 Å³/atom